Material: Ac3In5
Method: DFT, PBE
State: optimized geometry

* crystal system: orthorhombic
* calculated total energy: -3.620 eV/atom

Geometry as CIF:
```
data_Ac3In5
_chemical_formula_sum 'Ac6 In10'
_cell_length_a 6.904
_cell_length_b 8.302
_cell_length_c 10.930
_cell_angle_alpha 82.45
_cell_angle_beta 71.59
_cell_angle_gamma 65.43
_space_group_name_H-M_alt 'P 1'
_space_group_IT_number 1
loop_
_space_group_symop_operation_xyz
'x,y,z'
loop_
_atom_site_label
_atom_site_fract_x
_atom_site_fract_y
_atom_site_fract_z
In1 0.045 0.911 0.500
In2 0.188 0.220 0.333
In3 0.795 0.411 0.000
In4 0.069 0.600 0.333
In5 0.331 0.600 0.667
In6 0.248 0.100 0.833
In7 0.771 0.720 0.167
In8 0.509 0.720 0.833
In9 0.652 0.100 0.167
In10 0.592 0.220 0.667
Ac1 0.222 0.910 0.145
Ac2 0.973 0.410 0.645
Ac3 0.617 0.410 0.355
Ac4 0.867 0.910 0.855
Ac5 0.545 0.910 0.500
Ac6 0.295 0.410 0.000
```

Material: Ac5In
Method: DFT, PBE
State: optimized geometry

* crystal system: monoclinic
* calculated total energy: -3.996 eV/atom
* E above lowest polymorph: 0.00 kcal/mol of atoms

Geometry as CIF:
```
data_Ac5In
_chemical_formula_sum 'Ac5 In1'
_cell_length_a 4.147
_cell_length_b 7.084
_cell_length_c 9.651
_cell_angle_alpha 111.17
_cell_angle_beta 90.00
_cell_angle_gamma 107.02
_space_group_name_H-M_alt 'P 1'
_space_group_IT_number 1
loop_
_space_group_symop_operation_xyz
'x,y,z'
loop_
_atom_site_label
_atom_site_fract_x
_atom_site_fract_y
_atom_site_fract_z
Ac1 0.028 0.057 0.587
Ac2 0.050 0.100 0.032
Ac3 0.361 0.722 0.192
Ac4 0.694 0.387 0.388
Ac5 0.338 0.677 0.744
In1 0.695 0.391 0.890
```

Material: Ac2In
Method: DFT, PBE
State: optimized geometry

* crystal system: orthorhombic
* calculated total energy: -3.915 eV/atom
* E above lowest polymorph: 0.00 kcal/mol of atoms

Geometry as CIF:
```
data_Ac2In
_chemical_formula_sum 'Ac4 In2'
_cell_length_a 5.890
_cell_length_b 5.890
_cell_length_c 7.486
_cell_angle_alpha 90.00
_cell_angle_beta 90.00
_cell_angle_gamma 119.93
_space_group_name_H-M_alt 'P 1'
_space_group_IT_number 1
loop_
_space_group_symop_operation_xyz
'x,y,z'
loop_
_atom_site_label
_atom_site_fract_x
_atom_site_fract_y
_atom_site_fract_z
In1 0.333 0.167 0.250
In2 0.667 0.833 0.750
Ac1 0.333 0.167 0.750
Ac2 0.000 0.500 0.500
Ac3 0.000 0.500 0.000
Ac4 0.667 0.833 0.250
```

Material: AcIn4
Method: DFT, PBE
State: optimized geometry

* crystal system: orthorhombic
* calculated total energy: -3.340 eV/atom
* E above lowest polymorph: 0.00 kcal/mol of atoms

Geometry as CIF:
```
data_AcIn4
_chemical_formula_sum 'Ac2 In8'
_cell_length_a 4.970
_cell_length_b 7.281
_cell_length_c 9.093
_cell_angle_alpha 113.60
_cell_angle_beta 105.86
_cell_angle_gamma 90.00
_space_group_name_H-M_alt 'P 1'
_space_group_IT_number 1
loop_
_space_group_symop_operation_xyz
'x,y,z'
loop_
_atom_site_label
_atom_site_fract_x
_atom_site_fract_y
_atom_site_fract_z
In1 0.500 0.500 0.000
In2 0.303 0.766 0.607
In3 0.897 0.647 0.793
In4 0.303 0.340 0.607
In5 0.697 0.234 0.393
In6 0.697 0.660 0.393
In7 0.103 0.353 0.207
In8 0.500 0.000 0.000
Ac1 0.115 0.865 0.231
Ac2 0.885 0.135 0.769
```

Material: Ac8In3
Method: DFT, PBE
State: optimized geometry

* crystal system: trigonal
* calculated total energy: -3.691 eV/atom

Geometry as CIF:
```
data_Ac8In3
_chemical_formula_sum 'Ac8 In3'
_cell_length_a 7.857
_cell_length_b 7.857
_cell_length_c 7.857
_cell_angle_alpha 89.37
_cell_angle_beta 89.37
_cell_angle_gamma 89.37
_space_group_name_H-M_alt 'P 1'
_space_group_IT_number 1
loop_
_space_group_symop_operation_xyz
'x,y,z'
loop_
_atom_site_label
_atom_site_fract_x
_atom_site_fract_y
_atom_site_fract_z
Ac1 0.753 0.753 0.753
Ac2 0.244 0.244 0.761
Ac3 0.239 0.756 0.756
Ac4 0.756 0.756 0.239
Ac5 0.244 0.761 0.244
Ac6 0.756 0.239 0.756
Ac7 0.761 0.244 0.244
Ac8 0.247 0.247 0.247
In1 0.000 0.500 0.500
In2 0.500 0.000 0.500
In3 0.500 0.500 0.000
```

Material: Ac8In
Method: DFT, PBE
State: optimized geometry

* crystal system: tetragonal
* calculated total energy: -3.999 eV/atom

Geometry as CIF:
```
data_Ac8In
_chemical_formula_sum 'Ac8 In1'
_cell_length_a 5.448
_cell_length_b 8.789
_cell_length_c 8.789
_cell_angle_alpha 84.49
_cell_angle_beta 71.94
_cell_angle_gamma 71.94
_space_group_name_H-M_alt 'P 1'
_space_group_IT_number 1
loop_
_space_group_symop_operation_xyz
'x,y,z'
loop_
_atom_site_label
_atom_site_fract_x
_atom_site_fract_y
_atom_site_fract_z
Ac1 0.661 0.680 0.000
Ac2 0.332 0.669 0.669
Ac3 0.000 0.331 0.669
Ac4 0.339 0.320 0.000
Ac5 0.000 0.669 0.331
Ac6 0.660 0.000 0.680
Ac7 0.668 0.331 0.331
Ac8 0.340 0.000 0.320
In1 0.000 0.000 0.000
```

| no. | DOS(E_F) (states/eV/f.u.) |
| --- | --- |
| 1 | 6.31 |
| 2 | 7.72 |
| 3 | 3.76 |
| 4 | 2.19 |
| 5 | 19.54 |
| 6 | 13.34 |